[1]
# SiAg2As PBE-GGA relaxed
# Formation energy without anion corrections: 0.34 eV per atom
# Excess energy over the best structure of this formula in the dataset: 163.2 meV per atom
# Space-group type: P2/m, No. 10
# Fermi-level density of states: 1.30 states/eV/f.u.
data_SiAg2As
_space_group_name_H-M_alt 'P 1'
_space_group_IT_number 1
_space_group_name_Hall 'P 1'
_cell_length_a 2.976
_cell_length_b 4.711
_cell_length_c 5.254
_cell_angle_alpha 90.00
_cell_angle_beta 95.49
_cell_angle_gamma 90.00
loop_
_atom_site_label
_atom_site_type_symbol
_atom_site_fract_x
_atom_site_fract_y
_atom_site_fract_z
Si1 Si 0.000 0.000 0.000
Ag1 Ag 0.269 0.500 0.238
Ag2 Ag 0.731 0.500 0.762
As1 As 0.500 0.000 0.500

---

[2]
# SiAgAs PBE-GGA relaxed
# Formation energy without anion corrections: 0.42 eV per atom
# Excess energy over the best structure of this formula in the dataset: 70.3 meV per atom
# Space-group type: I4mm, No. 107
# Fermi-level density of states: 1.02 states/eV/f.u.
data_SiAgAs
_space_group_name_H-M_alt 'P 1'
_space_group_IT_number 1
_space_group_name_Hall 'P 1'
_cell_length_a 6.101
_cell_length_b 6.101
_cell_length_c 6.101
_cell_angle_alpha 150.94
_cell_angle_beta 150.94
_cell_angle_gamma 41.56
loop_
_atom_site_label
_atom_site_type_symbol
_atom_site_fract_x
_atom_site_fract_y
_atom_site_fract_z
Si1 Si 0.000 0.000 0.000
Ag1 Ag 0.661 0.661 0.000
As1 As 0.348 0.348 0.000

---

[3]
# SiAgAs PBE-GGA relaxed
# Formation energy without anion corrections: 0.42 eV per atom
# Excess energy over the best structure of this formula in the dataset: 76.2 meV per atom
# Space-group type: Fmm2, No. 42
# Fermi-level density of states: 1.46 states/eV/f.u.
data_SiAgAs
_space_group_name_H-M_alt 'P 1'
_space_group_IT_number 1
_space_group_name_Hall 'P 1'
_cell_length_a 7.441
_cell_length_b 7.421
_cell_length_c 2.773
_cell_angle_alpha 79.66
_cell_angle_beta 78.83
_cell_angle_gamma 21.51
loop_
_atom_site_label
_atom_site_type_symbol
_atom_site_fract_x
_atom_site_fract_y
_atom_site_fract_z
Si1 Si 0.000 0.000 0.000
Ag1 Ag 0.650 0.650 0.350
As1 As 0.313 0.313 0.687

---

[4]
# SiAg2As PBE-GGA relaxed
# Formation energy without anion corrections: 0.36 eV per atom
# Excess energy over the best structure of this formula in the dataset: 181.8 meV per atom
# Space-group type: Fm-3m, No. 225
# Fermi-level density of states: 0.96 states/eV/f.u.
data_SiAg2As
_space_group_name_H-M_alt 'P 1'
_space_group_IT_number 1
_space_group_name_Hall 'P 1'
_cell_length_a 4.699
_cell_length_b 4.699
_cell_length_c 4.699
_cell_angle_alpha 60.00
_cell_angle_beta 60.00
_cell_angle_gamma 60.00
loop_
_atom_site_label
_atom_site_type_symbol
_atom_site_fract_x
_atom_site_fract_y
_atom_site_fract_z
Si1 Si 0.000 0.000 0.000
Ag1 Ag 0.250 0.250 0.250
Ag2 Ag 0.750 0.750 0.750
As1 As 0.500 0.500 0.500

---

[5]
# SiAg2As PBE-GGA relaxed
# Formation energy without anion corrections: 0.29 eV per atom
# Excess energy over the best structure of this formula in the dataset: 112.4 meV per atom
# Space-group type: R-3m, No. 166
# Fermi-level density of states: 1.04 states/eV/f.u.
data_SiAg2As
_space_group_name_H-M_alt 'P 1'
_space_group_IT_number 1
_space_group_name_Hall 'P 1'
_cell_length_a 8.715
_cell_length_b 8.715
_cell_length_c 8.715
_cell_angle_alpha 20.52
_cell_angle_beta 20.52
_cell_angle_gamma 20.52
loop_
_atom_site_label
_atom_site_type_symbol
_atom_site_fract_x
_atom_site_fract_y
_atom_site_fract_z
Si1 Si 0.000 0.000 0.000
Ag1 Ag 0.254 0.254 0.254
Ag2 Ag 0.746 0.746 0.746
As1 As 0.500 0.500 0.500

---

[6]
# SiAg2As PBE-GGA relaxed
# Formation energy without anion corrections: 0.29 eV per atom
# Excess energy over the best structure of this formula in the dataset: 119.4 meV per atom
# Space-group type: P4mm, No. 99
# Fermi-level density of states: 1.15 states/eV/f.u.
data_SiAg2As
_space_group_name_H-M_alt 'P 1'
_space_group_IT_number 1
_space_group_name_Hall 'P 1'
_cell_length_a 3.533
_cell_length_b 3.533
_cell_length_c 5.801
_cell_angle_alpha 90.00
_cell_angle_beta 90.00
_cell_angle_gamma 90.00
loop_
_atom_site_label
_atom_site_type_symbol
_atom_site_fract_x
_atom_site_fract_y
_atom_site_fract_z
Si1 Si 0.000 0.000 0.000
Ag1 Ag 0.000 0.000 0.510
Ag2 Ag 0.500 0.500 0.267
As1 As 0.500 0.500 0.802

---

| no. | E (eV per cell) | calculated volume (A^3/atom) |
| --- | --- | --- |
| 1 | -14.4 | 18.33 |
| 2 | -11.7 | 17.82 |
| 3 | -11.7 | 18.36 |
| 4 | -14.3 | 18.34 |
| 5 | -14.6 | 17.79 |
| 6 | -14.6 | 18.11 |